# 1
The following is a DFT calculation (PBE) of an optimized crystal structure of La3InCo.

The value obtained for the total magnetic moment is 0.0 μB per cell. As for the space group: P1, No. 1. The calculation puts the energy above the lowest structure with this stoichiometry at 46 meV/atom. Its total energy is -5.17 eV per atom.

Geometry as CIF:
```
data_La3InCo
_chemical_formula_sum 'La6 In2 Co2'
_space_group_name_H-M_alt 'P 1'
_space_group_IT_number 1
_space_group_name_Hall 'P 1'
_cell_length_a 6.065
_cell_length_b 6.980
_cell_length_c 7.017
_cell_angle_alpha 74.27
_cell_angle_beta 86.87
_cell_angle_gamma 81.21
loop_
_atom_site_label
_atom_site_type_symbol
_atom_site_fract_x
_atom_site_fract_y
_atom_site_fract_z
La1 La 0.000 0.000 0.000
La2 La 0.026 0.986 0.510
La3 La 0.056 0.528 0.892
La4 La 0.467 0.218 0.716
La5 La 0.525 0.780 0.298
La6 La 0.604 0.335 0.201
In1 In 0.057 0.499 0.382
In2 In 0.538 0.724 0.785
Co1 Co 0.222 0.180 0.187
Co2 Co 0.788 0.376 0.711
```



# 2
The following is a DFT calculation (PBE) of an optimized crystal structure of Tl6In5Hg2.

The value obtained for the total magnetic moment is 0.0 μB per cell. As for the space group: Pbam, No. 55. Its total energy is -2.16 eV per atom.

Geometry as CIF:
```
data_Tl6In5Hg2
_chemical_formula_sum 'Tl12 In10 Hg4'
_space_group_name_H-M_alt 'P 1'
_space_group_IT_number 1
_space_group_name_Hall 'P 1'
_cell_length_a 10.426
_cell_length_b 20.986
_cell_length_c 3.479
_cell_angle_alpha 90.00
_cell_angle_beta 90.00
_cell_angle_gamma 90.00
loop_
_atom_site_label
_atom_site_type_symbol
_atom_site_fract_x
_atom_site_fract_y
_atom_site_fract_z
Tl1 Tl 0.018 0.099 0.000
Tl2 Tl 0.143 0.378 0.000
Tl3 Tl 0.169 0.628 0.500
Tl4 Tl 0.331 0.128 0.500
Tl5 Tl 0.357 0.878 0.000
Tl6 Tl 0.482 0.599 0.000
Tl7 Tl 0.518 0.401 0.000
Tl8 Tl 0.643 0.122 0.000
Tl9 Tl 0.669 0.872 0.500
Tl10 Tl 0.831 0.372 0.500
Tl11 Tl 0.857 0.622 0.000
Tl12 Tl 0.982 0.901 0.000
In1 In 0.000 0.500 0.500
In2 In 0.098 0.239 0.500
In3 In 0.188 0.988 0.500
In4 In 0.312 0.488 0.500
In5 In 0.402 0.739 0.500
In6 In 0.500 0.000 0.500
In7 In 0.598 0.261 0.500
In8 In 0.688 0.512 0.500
In9 In 0.812 0.012 0.500
In10 In 0.902 0.761 0.500
Hg1 Hg 0.149 0.764 0.000
Hg2 Hg 0.351 0.264 0.000
Hg3 Hg 0.649 0.736 0.000
Hg4 Hg 0.851 0.236 0.000
```